12
Lattice="6.205 0.000 0.000 0.000 5.400 0.000 -0.130 0.000 11.857" Properties=species:S:1:pos:R:3 comment="Sm7Tm3Sc2 | the Alexandria database | PBE | relaxed" energy_ev_per_atom=-4.66 sg="P2/m (10)" m_tot_mub_per_cell=0.00 formation_energy_ev_per_atom=0.2642 pbc="T T T"
Sm 0.000 0.000 0.000
Sm 0.447 2.700 9.769
Sm 1.479 2.700 6.462
Sm 2.612 0.000 9.550
Sm 3.462 0.000 2.307
Sm 4.596 2.700 5.395
Sm 5.627 2.700 2.087
Tm 0.480 0.000 4.128
Tm 3.102 2.700 0.000
Tm 5.594 0.000 7.728
Sc 2.330 2.700 3.223
Sc 3.745 2.700 8.634

12
Lattice="4.099 0.000 0.000 0.000 5.011 0.000 0.000 0.000 8.697" Properties=species:S:1:pos:R:3 comment="PrCdCu10 | the Alexandria database | PBE | relaxed" energy_ev_per_atom=-3.94 sg="Pmmm (47)" m_tot_mub_per_cell=0.00 formation_energy_ev_per_atom=-0.0473 pbc="T T T"
Pr 0.000 0.000 0.000
Cd 0.000 2.505 4.349
Cu 0.000 0.000 3.010
Cu 0.000 0.000 5.687
Cu 0.000 2.505 1.604
Cu 0.000 2.505 7.093
Cu 2.050 0.000 4.349
Cu 2.050 1.249 2.201
Cu 2.050 1.249 6.496
Cu 2.050 2.505 0.000
Cu 2.050 3.761 2.201
Cu 2.050 3.761 6.496

10
Lattice="4.105 0.000 0.000 0.000 4.105 0.000 0.000 0.000 10.018" Properties=species:S:1:pos:R:3 comment="Th2NiP3Ir4 | the Alexandria database | PBE | relaxed" energy_ev_per_atom=-8.16 sg="P-4m2 (115)" m_tot_mub_per_cell=0.00 formation_energy_ev_per_atom=-0.9277 pbc="T T T"
Th 0.000 2.052 2.461
Th 2.052 0.000 7.556
Ni 2.052 2.052 0.000
P 0.000 0.000 0.000
P 0.000 2.052 6.394
P 2.052 0.000 3.624
Ir 0.000 0.000 5.009
Ir 0.000 2.052 8.713
Ir 2.052 0.000 1.305
Ir 2.052 2.052 5.009

5
Lattice="4.219 0.000 0.000 0.000 4.219 0.000 0.000 0.000 6.561" Properties=species:S:1:pos:R:3 comment="NiAgS2Cl | the Alexandria database | PBE | relaxed" energy_ev_per_atom=-3.50 sg="P4/mmm (123)" m_tot_mub_per_cell=2.05 relative_energy_ev_per_atom=0.000 e_form_raw_mev_per_atom=243 pbc="T T T"
Ni 0.000 0.000 0.000
Ag 2.110 2.110 3.281
S 0.000 2.110 0.000
S 2.110 0.000 0.000
Cl 0.000 0.000 3.281

3
Lattice="4.090 0.000 0.000 -2.045 3.542 0.000 0.000 0.000 8.362" Properties=species:S:1:pos:R:3 comment="AcLaI | the Alexandria database | PBE | relaxed" energy_ev_per_atom=-4.12 sg="P3m1 (156)" m_tot_mub_per_cell=0.50 relative_energy_ev_per_atom=0.000 e_form_raw_mev_per_atom=-587 pbc="T T T"
Ac 0.000 0.000 0.000
La 2.045 1.181 3.040
I 0.000 2.362 5.539

12
Lattice="6.678 0.000 0.000 0.000 6.678 0.000 0.000 0.000 6.678" Properties=species:S:1:pos:R:3 comment="KC2 | the Alexandria database | PBE | relaxed" energy_ev_per_atom=-5.21 sg="Pa-3 (205)" m_tot_mub_per_cell=4.14 formation_energy_ev_per_atom=1.3025 relative_energy_ev_per_atom=0.798 pbc="T T T"
K 0.000 0.000 0.000
K 0.000 3.339 3.339
K 3.339 0.000 3.339
K 3.339 3.339 0.000
C 0.365 3.704 6.313
C 0.365 6.313 2.974
C 2.974 0.365 6.313
C 2.974 2.974 2.974
C 3.704 3.704 3.704
C 3.704 6.313 0.365
C 6.313 0.365 3.704
C 6.313 2.974 0.365

6
Lattice="4.260 0.000 0.000 -2.130 3.689 0.000 0.000 0.000 9.154" Properties=species:S:1:pos:R:3 comment="SrCeAl2Ge2 | the Alexandria database | PBE | relaxed" energy_ev_per_atom=-4.57 sg="P-3m1 (164)" m_tot_mub_per_cell=0.34 formation_energy_ev_per_atom=-0.5111 pbc="T T T"
Sr 0.000 0.000 0.000
Ce 0.000 0.000 4.577
Al 0.000 2.459 6.505
Al 2.130 1.230 2.649
Ge 0.000 2.459 2.186
Ge 2.130 1.230 6.968

10
Lattice="6.979 -3.117 0.000 6.979 3.117 0.000 -3.861 0.000 9.663" Properties=species:S:1:pos:R:3 comment="NaSr3Pd | the Alexandria database | PBE | relaxed" energy_ev_per_atom=-2.57 sg="C2/m (12)" m_tot_mub_per_cell=0.00 formation_energy_ev_per_atom=-0.2600 relative_energy_ev_per_atom=0.026 pbc="T T T"
Na -0.335 0.000 4.167
Na 10.431 0.000 5.497
Sr -1.697 0.000 9.002
Sr 3.525 0.000 3.314
Sr 2.450 0.000 7.668
Sr 7.646 0.000 1.995
Sr 6.571 0.000 6.349
Sr 11.794 0.000 0.661
Pd 4.918 0.000 0.694
Pd 5.179 0.000 8.969

12
Lattice="9.237 -3.820 0.000 9.237 3.820 0.000 -2.025 0.000 6.118" Properties=species:S:1:pos:R:3 comment="AcLa4Ru | the Alexandria database | PBE | relaxed" energy_ev_per_atom=-5.61 sg="C2/m (12)" m_tot_mub_per_cell=0.00 formation_energy_ev_per_atom=-0.0983 relative_energy_ev_per_atom=0.026 pbc="T T T"
Ac 3.292 0.000 1.002
Ac 13.156 0.000 5.116
La 6.400 1.926 2.318
La 9.237 1.889 0.000
La 4.200 0.000 4.856
La 10.048 1.926 3.801
La 6.400 -1.926 2.318
La 12.248 0.000 1.263
La 9.237 -1.889 0.000
La 10.048 -1.926 3.801
Ru 7.154 0.000 3.980
Ru 9.295 0.000 2.138

14
Lattice="4.175 2.411 6.808 -4.175 2.411 6.808 0.000 -4.821 6.808" Properties=species:S:1:pos:R:3 comment="Ho4ErAgSe8 | the Alexandria database | PBE | relaxed" energy_ev_per_atom=-5.47 sg="R3m (160)" m_tot_mub_per_cell=0.00 e_form_raw_mev_per_atom=-1646 pbc="T T T"
Ho 0.000 0.000 0.000
Ho -2.007 -1.159 9.390
Ho 2.007 -1.159 9.390
Ho 0.000 2.317 9.390
Er 0.000 0.000 12.660
Ag 0.000 0.000 5.099
Se 0.000 0.000 7.792
Se 0.000 -2.278 11.018
Se -1.973 1.139 11.018
Se -1.941 -1.121 14.513
Se 1.973 1.139 11.018
Se 1.941 -1.121 14.513
Se 0.000 2.242 14.513
Se 0.000 0.000 17.695

4
Lattice="0.000 3.837 3.837 3.837 0.000 3.837 3.837 3.837 0.000" Properties=species:S:1:pos:R:3 comment="RbHfCd2 | the Alexandria database | PBE | relaxed" energy_ev_per_atom=-2.57 sg="Fm-3m (225)" m_tot_mub_per_cell=0.00 formation_energy_ev_per_atom=0.6209 relative_energy_ev_per_atom=0.000 pbc="T T T"
Rb 0.000 0.000 0.000
Hf 3.837 3.837 3.837
Cd 1.918 1.918 1.918
Cd 5.755 5.755 5.755

16
Lattice="4.391 2.535 7.841 -4.391 2.535 7.841 0.000 -5.070 7.841" Properties=species:S:1:pos:R:3 comment="La8Au3SI4 | the Alexandria database | PBE | relaxed" energy_ev_per_atom=-4.81 sg="R-3m (166)" m_tot_mub_per_cell=0.00 e_form_raw_mev_per_atom=-1081 pbc="T T T"
La 0.000 0.000 5.521
La -2.104 -1.215 13.411
La 0.000 -2.429 10.112
La -2.104 1.215 10.112
La 2.104 -1.215 13.411
La 0.000 2.429 13.411
La 2.104 1.215 10.112
La 0.000 0.000 18.002
Au -4.391 0.000 11.762
Au -2.196 1.268 3.921
Au 2.196 1.268 3.921
S 0.000 0.000 11.762
I 0.000 0.000 0.000
I -2.196 -1.268 7.841
I -2.196 1.268 15.682
I 0.000 2.535 7.841

16
Lattice="7.816 -4.227 0.000 7.816 4.227 0.000 -4.798 0.000 7.653" Properties=species:S:1:pos:R:3 comment="K4Np3TeSe8 | the Alexandria database | PBE | relaxed" energy_ev_per_atom=-5.67 sg="C2/m (12)" m_tot_mub_per_cell=3.32 e_form_raw_mev_per_atom=-1029 pbc="T T T"
K 0.000 0.000 0.000
K 3.908 2.113 0.000
K 3.908 -2.113 0.000
K 7.816 0.000 0.000
Np -2.399 0.000 3.826
Np 1.509 2.113 3.826
Np 1.509 -2.113 3.826
Te 5.417 0.000 3.826
Se 2.256 0.000 2.089
Se 0.194 0.000 5.387
Se 4.106 2.077 5.303
Se 6.729 2.077 2.350
Se 4.106 -2.077 5.303
Se 6.729 -2.077 2.350
Se 10.640 0.000 2.266
Se 8.579 0.000 5.564

10
Lattice="7.195 -2.186 0.000 7.195 2.186 0.000 -0.007 0.000 4.883" Properties=species:S:1:pos:R:3 comment="VIrPt3 | the Alexandria database | PBE | relaxed" energy_ev_per_atom=-7.43 sg="Cm (8)" m_tot_mub_per_cell=0.00 formation_energy_ev_per_atom=-0.2093 relative_energy_ev_per_atom=0.000 pbc="T T T"
V 0.000 0.000 0.000
V 10.450 0.000 2.435
Ir 2.994 0.000 0.855
Ir 7.443 0.000 3.312
Pt 1.930 0.000 3.297
Pt 4.602 0.000 3.223
Pt 5.834 0.000 0.786
Pt 8.503 0.000 0.874
Pt 11.558 0.000 4.880
Pt 13.272 0.000 2.442

5
Lattice="5.121 0.000 0.000 0.000 5.121 0.000 0.000 0.000 5.121" Properties=species:S:1:pos:R:3 comment="Eu3SnF | the Alexandria database | PBE | relaxed" energy_ev_per_atom=-8.72 sg="Pm-3m (221)" m_tot_mub_per_cell=21.97 e_form_raw_mev_per_atom=-1385 pbc="T T T"
Eu 0.000 0.000 2.561
Eu 0.000 2.561 0.000
Eu 2.561 0.000 0.000
Sn 2.561 2.561 2.561
F 0.000 0.000 0.000

12
Lattice="3.368 -5.893 0.000 3.368 5.893 0.000 -2.303 0.000 6.375" Properties=species:S:1:pos:R:3 comment="PrU5S6 | the Alexandria database | PBE | relaxed" energy_ev_per_atom=-8.62 sg="C2/m (12)" m_tot_mub_per_cell=12.17 e_form_raw_mev_per_atom=-1455 pbc="T T T"
Pr 0.000 0.000 0.000
U 2.216 3.981 3.188
U 3.368 1.978 0.000
U 2.216 0.000 3.188
U 3.368 -1.978 0.000
U 2.216 -3.981 3.188
S 1.141 2.016 1.638
S 0.023 0.000 4.779
S 1.141 -2.016 1.638
S 3.291 2.016 4.738
S 4.409 0.000 1.597
S 3.291 -2.016 4.738

4
Lattice="2.895 0.000 0.000 0.000 3.781 0.000 0.000 0.000 7.887" Properties=species:S:1:pos:R:3 comment="ZnCd2Se | the Alexandria database | PBE | relaxed" energy_ev_per_atom=-1.61 sg="Pmm2 (25)" m_tot_mub_per_cell=0.00 relative_energy_ev_per_atom=0.178 e_form_raw_mev_per_atom=41 pbc="T T T"
Zn 0.000 0.000 0.000
Cd 0.000 0.000 3.965
Cd 1.448 1.890 1.843
Se 1.448 1.890 6.267

5
Lattice="4.989 0.000 0.000 0.000 4.989 0.000 0.000 0.000 4.989" Properties=species:S:1:pos:R:3 comment="NbGa3Br | the Alexandria database | PBE | relaxed" energy_ev_per_atom=-2.98 sg="Pm-3m (221)" m_tot_mub_per_cell=0.00 relative_energy_ev_per_atom=0.717 e_form_raw_mev_per_atom=1183 pbc="T T T"
Nb 0.000 0.000 0.000
Ga 0.000 2.494 2.494
Ga 2.494 0.000 2.494
Ga 2.494 2.494 0.000
Br 2.494 2.494 2.494

10
Lattice="8.003 0.000 0.000 0.000 5.063 0.000 -1.264 0.000 7.558" Properties=species:S:1:pos:R:3 comment="CsErAuS2 | the Alexandria database | PBE | relaxed" energy_ev_per_atom=-4.55 sg="P2/c (13)" m_tot_mub_per_cell=0.00 e_form_raw_mev_per_atom=-1160 pbc="T T T"
Cs -0.316 0.738 1.889
Cs -0.948 4.325 5.668
Er 3.054 2.505 5.668
Er 3.686 2.558 1.889
Au 4.001 0.000 0.000
Au 3.370 0.000 3.779
S 1.031 1.820 7.283
S 1.662 3.243 3.504
S 5.077 1.820 4.054
S 5.709 3.243 0.275

8
Lattice="4.977 0.000 0.000 0.000 3.061 6.575 0.000 -3.061 6.575" Properties=species:S:1:pos:R:3 comment="SrMg6Cu | the Alexandria database | PBE | relaxed" energy_ev_per_atom=-1.85 sg="Amm2 (38)" m_tot_mub_per_cell=0.00 formation_energy_ev_per_atom=0.0637 relative_energy_ev_per_atom=0.003 pbc="T T T"
Sr 0.000 0.000 0.000
Mg 0.000 -1.485 9.730
Mg 0.000 1.485 9.730
Mg 2.488 -1.484 4.968
Mg 2.488 0.000 2.190
Mg 2.488 0.000 7.833
Mg 2.488 1.484 4.968
Cu 0.000 0.000 5.353

12
Lattice="3.605 -6.246 0.000 3.605 6.246 0.000 -2.405 0.000 7.694" Properties=species:S:1:pos:R:3 comment="K3Er2InSe6 | the Alexandria database | PBE | relaxed" energy_ev_per_atom=-4.44 sg="C2/m (12)" m_tot_mub_per_cell=0.00 e_form_raw_mev_per_atom=-1436 pbc="T T T"
K 0.000 0.000 0.000
K 3.605 2.087 0.000
K 3.605 -2.087 0.000
Er 2.403 4.165 3.847
Er 2.403 -4.165 3.847
In 2.403 0.000 3.847
Se 1.215 2.058 2.290
Se 0.026 0.000 5.407
Se 1.215 -2.058 2.290
Se 3.590 2.058 5.405
Se 4.779 0.000 2.288
Se 3.590 -2.058 5.405

5
Lattice="3.761 0.000 0.000 0.000 3.761 0.000 0.000 0.000 3.921" Properties=species:S:1:pos:R:3 comment="Mn2AlHRh | the Alexandria database | PBE | relaxed" energy_ev_per_atom=-6.83 sg="P4/mmm (123)" m_tot_mub_per_cell=5.56 relative_energy_ev_per_atom=0.000 pbc="T T T"
Mn 0.000 1.881 0.000
Mn 1.881 0.000 0.000
Al 0.000 0.000 1.960
H 1.881 1.881 0.000
Rh 1.881 1.881 1.960

14
Lattice="9.326 0.000 0.000 -4.663 8.076 0.000 0.000 0.000 5.579" Properties=species:S:1:pos:R:3 comment="AcTm3Sb3 | the Alexandria database | PBE | relaxed" energy_ev_per_atom=-5.05 sg="P6_3/m (176)" m_tot_mub_per_cell=0.00 e_form_raw_mev_per_atom=-784 pbc="T T T"
Ac 0.000 5.384 1.395
Ac 4.663 2.692 4.184
Tm -3.471 6.295 1.395
Tm 0.946 1.923 1.395
Tm 2.138 0.142 4.184
Tm 2.524 7.934 1.395
Tm 3.717 6.153 4.184
Tm 8.134 1.781 4.184
Sb -2.461 5.232 4.184
Sb 1.362 3.329 4.184
Sb 3.564 0.485 1.395
Sb 1.099 7.591 4.184
Sb 3.301 4.748 1.395
Sb 7.124 2.844 1.395